{"formula": "NiAg2Pd4", "functional": "PBE-GGA", "state": "relaxed", "m_tot_mub_per_fu": 1.7, "crystal_system": "orthorhombic", "e_form_ev_per_atom": 0.016, "space_group": "No. 65", "cell": [[1.404, -14.082, 0.000], [1.404, 14.082, 0.000], [0.000, 0.000, 2.791]], "species": ["Ni", "Ag", "Ag", "Pd", "Pd", "Pd", "Pd"], "fractional_positions": [[0.000, 0.000, 0.000], [0.294, 0.706, 0.500], [0.706, 0.294, 0.500], [0.132, 0.868, 0.000], [0.440, 0.560, 0.500], [0.560, 0.440, 0.500], [0.868, 0.132, 0.000]]}